RbPrCdTe3: relaxed, PBE.

Energy above the lowest structure with this stoichiometry, eV/f.u.: 0.62
DFT total energy, Ry/atom: -0.2695
Symmetry: Pnma (62)

a b c (Å): 8.960 4.918 18.904
angles (deg): 90.00 90.00 90.00
Sites, in units of the cell vectors:
Pr  0.767  0.750  0.958
Te  0.232  0.250  0.210
Rb  0.566  0.250  0.692
Te  0.867  0.250  0.054
Cd  0.574  0.250  0.159
Te  0.732  0.250  0.290
Cd  0.926  0.750  0.659
Pr  0.733  0.250  0.458
Te  0.268  0.750  0.710
Te  0.367  0.250  0.446
Te  0.501  0.750  0.080
Rb  0.066  0.250  0.808
Rb  0.934  0.750  0.192
Cd  0.074  0.250  0.341
Te  0.633  0.750  0.554
Te  0.999  0.250  0.580
Te  0.499  0.250  0.920
Te  0.001  0.750  0.420
Te  0.768  0.750  0.790
Rb  0.434  0.750  0.308
Te  0.133  0.750  0.946
Pr  0.233  0.250  0.042
Cd  0.426  0.750  0.841
Pr  0.267  0.750  0.542

TbSc2W2: relaxed, PBE.

Energy above the lowest structure with this stoichiometry, eV/f.u.: 0.65
DFT total energy, Ry/atom: -0.5842
Symmetry: I4/mmm (139)

a b c (Å): 6.949 6.949 6.949
angles (deg): 146.34 146.34 48.34
Sites, in units of the cell vectors:
Sc  0.397  0.397  0.000
W  0.750  0.250  0.500
W  0.250  0.750  0.500
Tb  0.000  0.000  0.000
Sc  0.603  0.603  0.000

HoHfAl4Ni2: relaxed, PBE.

DFT total energy, Ry/atom: -0.4183
Symmetry: Amm2 (38)

a b c (Å): 6.658 5.258 5.258
angles (deg): 45.55 90.00 90.00
Sites, in units of the cell vectors:
Al  0.806  0.853  0.853
Al  0.705  0.144  0.144
Al  0.194  0.853  0.853
Ho  0.500  0.433  0.433
Al  0.295  0.144  0.144
Hf  0.000  0.567  0.567
Ni  0.000  0.292  0.292
Ni  0.500  0.713  0.713

RbMgAsPd: relaxed, PBE.

Energy above the lowest structure with this stoichiometry, eV/f.u.: 0.00
DFT total energy, Ry/atom: -0.2194
Symmetry: F-43m (216)

a b c (Å): 4.979 4.979 4.979
angles (deg): 60.00 60.00 60.00
Sites, in units of the cell vectors:
Pd  0.000  0.000  0.000
As  0.250  0.250  0.250
Rb  0.500  0.500  0.500
Mg  0.750  0.750  0.750

USiSb: relaxed, PBE.

Energy above the lowest structure with this stoichiometry, eV/f.u.: 0.00
DFT total energy, Ry/atom: -0.4925
Symmetry: F-43m (216)

a b c (Å): 4.697 4.697 4.697
angles (deg): 60.00 60.00 60.00
Sites, in units of the cell vectors:
U  0.750  0.750  0.750
Sb  0.250  0.250  0.250
Si  0.000  0.000  0.000

Y2NbTl: relaxed, PBE.

DFT total energy, Ry/atom: -0.4459
Symmetry: F-43m (216)

a b c (Å): 5.155 5.155 5.155
angles (deg): 60.00 60.00 60.00
Sites, in units of the cell vectors:
Nb  0.250  0.250  0.250
Tl  0.500  0.500  0.500
Y  0.000  0.000  0.000
Y  0.750  0.750  0.750

SmNbZn: relaxed, PBE.

Energy above the lowest structure with this stoichiometry, eV/f.u.: 0.00
DFT total energy, Ry/atom: -0.3557
Symmetry: F-43m (216)

a b c (Å): 4.652 4.652 4.652
angles (deg): 60.00 60.00 60.00
Sites, in units of the cell vectors:
Zn  0.000  0.000  0.000
Sm  0.750  0.750  0.750
Nb  0.250  0.250  0.250

Co7Re5: relaxed, PBE.

Energy above the lowest structure with this stoichiometry, eV/f.u.: 2.47
DFT total energy, Ry/atom: -0.6453
Symmetry: P6_3/mmc (194)

a b c (Å): 4.940 4.940 15.745
angles (deg): 90.00 90.00 120.00
Sites, in units of the cell vectors:
Re  0.333  0.667  0.121
Re  0.667  0.333  0.879
Co  0.000  0.000  0.084
Co  0.000  0.000  0.416
Re  0.322  0.161  0.750
Co  0.500  0.500  0.500
Co  0.500  0.500  0.000
Re  0.667  0.333  0.621
Re  0.161  0.839  0.250
Co  0.000  0.500  0.000
Re  0.839  0.161  0.750
Co  0.000  0.000  0.916
Co  0.000  0.000  0.584
Co  0.333  0.667  0.843
Co  0.667  0.333  0.343
Co  0.667  0.333  0.157
Re  0.161  0.322  0.250
Re  0.839  0.678  0.750
Re  0.333  0.667  0.379
Co  0.333  0.667  0.657
Co  0.500  0.000  0.000
Co  0.000  0.500  0.500
Co  0.500  0.000  0.500
Re  0.678  0.839  0.250

Y3Sc3Te2Ir: relaxed, PBE.

Energy above the lowest structure with this stoichiometry, eV/f.u.: 1.43
DFT total energy, Ry/atom: -0.4916
Symmetry: P-62m (189)

a b c (Å): 8.163 8.163 3.851
angles (deg): 90.00 90.00 120.00
Sites, in units of the cell vectors:
Te  0.333  0.667  0.500
Sc  0.000  0.393  0.000
Y  0.000  0.750  0.500
Y  0.250  0.250  0.500
Ir  0.000  0.000  0.000
Sc  0.393  0.000  0.000
Sc  0.607  0.607  0.000
Y  0.750  0.000  0.500
Te  0.667  0.333  0.500

LiCo3Sb5: relaxed, PBE.

DFT total energy, Ry/atom: -0.3601
Symmetry: P6/mmm (191)

a b c (Å): 5.287 5.287 8.053
angles (deg): 90.00 90.00 120.00
Sites, in units of the cell vectors:
Sb  0.333  0.667  0.766
Sb  0.333  0.667  0.234
Sb  0.667  0.333  0.766
Co  0.000  0.500  0.500
Co  0.500  0.000  0.500
Li  0.000  0.000  0.000
Co  0.500  0.500  0.500
Sb  0.667  0.333  0.234
Sb  0.000  0.000  0.500

LuFeReGe: relaxed, PBE.

Energy above the lowest structure with this stoichiometry, eV/f.u.: 0.48
DFT total energy, Ry/atom: -0.5243
Symmetry: F-43m (216)

a b c (Å): 4.549 4.549 4.549
angles (deg): 60.00 60.00 60.00
Sites, in units of the cell vectors:
Fe  0.750  0.750  0.750
Lu  0.250  0.250  0.250
Ge  0.000  0.000  0.000
Re  0.500  0.500  0.500